First-principles (GGA-PBE) data for a relaxed structure of HfTlBr3, as listed in Alexandria.

Summary:
Space group   Pm-3m, No. 221
E_tot   -20.6 eV/cell
Density   6.8 g/cm³
V   30.4 Å³/atom
ΔE to the lowest computed polymorph   0.000 eV per atom

a = 5.3357 Å, b = 5.3357 Å, c = 5.3357 Å
α = 90.00°, β = 90.00°, γ = 90.00°
Fractional coordinates of all 5 atoms:
1 Hf 0.0000 0.0000 0.0000
2 Br 0.0000 0.0000 0.5000
3 Br 0.5000 0.0000 0.0000
4 Br 0.0000 0.5000 0.0000
5 Tl 0.5000 0.5000 0.5000

=====

First-principles (GGA-PBE) data for a relaxed structure of Hf2TlBr8, as listed in Alexandria.

Summary:
Space group   C2/m, No. 12
E_tot   -48.2 eV/cell
Density   3.8 g/cm³
V   48.1 Å³/atom

a = 7.3564 Å, b = 8.4880 Å, c = 8.4880 Å
α = 85.95°, β = 90.35°, γ = 90.35°
Last column: magnetic moment on the atom in μB.
Fractional coordinates of all 11 atoms:
1 Br 0.2920 0.3091 0.9095  0.03
2 Br 0.3273 0.7979 0.7979  0.01
3 Br 0.8065 0.6351 0.6351  0.00
4 Br 0.7080 0.0905 0.6909  0.03
5 Br 0.6727 0.2021 0.2021  0.01
6 Br 0.2920 0.9095 0.3091  0.03
7 Br 0.1935 0.3649 0.3649  0.00
8 Br 0.7080 0.6909 0.0905  0.03
9 Hf 0.3330 0.1860 0.1860  0.18
10 Hf 0.6670 0.8140 0.8140  0.18
11 Tl 0.0000 0.0000 0.0000  0.10

=====

First-principles (GGA-PBE) data for a relaxed structure of HfTl3Br, as listed in Alexandria.

Summary:
Space group   Pm-3m, No. 221
E_tot   -14.5 eV/cell
Density   7.3 g/cm³
V   39.4 Å³/atom
ΔE to the lowest computed polymorph   0.438 eV per atom

a = 5.8184 Å, b = 5.8184 Å, c = 5.8184 Å
α = 90.00°, β = 90.00°, γ = 90.00°
Last column: magnetic moment on the atom in μB.
Fractional coordinates of all 5 atoms:
1 Hf 0.5000 0.5000 0.5000  0.97
2 Tl 0.0000 0.0000 0.5000  0.01
3 Tl 0.0000 0.5000 0.0000  0.02
4 Tl 0.5000 0.0000 0.0000  0.01
5 Br 0.0000 0.0000 0.0000  0.01

=====

First-principles (GGA-PBE) data for a relaxed structure of HfTl2Br6, as listed in Alexandria.

Summary:
Space group   P2_1/c, No. 14
E_tot   -71.2 eV/cell
Density   5.4 g/cm³
V   36.3 Å³/atom

a = 7.5380 Å, b = 8.2462 Å, c = 10.5040 Å
α = 90.00°, β = 91.32°, γ = 90.00°
Fractional coordinates of all 18 atoms:
1 Br 0.6761 0.2307 0.9584
2 Br 0.2129 0.3267 0.0404
3 Br 0.8239 0.7307 0.5416
4 Br 0.4156 0.5174 0.7565
5 Br 0.3239 0.7693 0.0416
6 Br 0.1761 0.2693 0.4584
7 Br 0.9156 0.9826 0.2565
8 Br 0.7871 0.6733 0.9596
9 Br 0.7129 0.1733 0.5404
10 Br 0.0844 0.0174 0.7435
11 Br 0.5844 0.4826 0.2435
12 Br 0.2871 0.8267 0.4596
13 Tl 0.0192 0.5883 0.2469
14 Tl 0.4808 0.0883 0.2531
15 Tl 0.9808 0.4117 0.7531
16 Tl 0.5192 0.9117 0.7469
17 Hf 0.0000 0.0000 0.5000
18 Hf 0.5000 0.5000 0.0000

=====

First-principles (GGA-PBE) data for a relaxed structure of HfTl2Br5, as listed in Alexandria.

Summary:
Space group   Cm, No. 8
E_tot   -30.8 eV/cell
Density   4.9 g/cm³
V   42.2 Å³/atom

a = 8.4781 Å, b = 7.7277 Å, c = 8.2768 Å
α = 126.32°, β = 120.81°, γ = 90.00°
Last column: magnetic moment on the atom in μB.
Fractional coordinates of all 8 atoms:
1 Br 0.2747 0.2600 0.1146  0.00
2 Br 0.7438 0.7987 0.4875  0.01
3 Br 0.2233 0.7491 0.0180  0.01
4 Br 0.7947 0.7491 0.0180  0.01
5 Br 0.8398 0.2600 0.1146  0.00
6 Tl 0.7426 0.3032 0.4852  0.07
7 Tl 0.1963 0.7278 0.3926  0.01
8 Hf 0.9618 0.9293 0.9236  0.44

=====

First-principles (GGA-PBE) data for a relaxed structure of Hf3Tl2Br9, as listed in Alexandria.

Summary:
Space group   C2/m, No. 12
E_tot   -130.4 eV/cell
Density   5.9 g/cm³
V   33.4 Å³/atom

a = 10.4014 Å, b = 10.5834 Å, c = 10.5834 Å
α = 117.58°, β = 102.77°, γ = 102.77°
Last column: magnetic moment on the atom in μB.
Fractional coordinates of all 28 atoms:
1 Tl 0.8341 0.4459 0.7727  0.00
2 Tl 0.8341 0.7727 0.4459  0.00
3 Tl 0.1659 0.2273 0.5541  0.00
4 Tl 0.1659 0.5541 0.2273  0.00
5 Br 0.4818 0.5903 0.8002  0.01
6 Br 0.1733 0.8931 0.4966  0.01
7 Br 0.2080 0.2837 0.2837  0.01
8 Br 0.5182 0.4097 0.1998  0.01
9 Br 0.1806 0.0891 0.8818  0.01
10 Br 0.1733 0.4966 0.8931  0.01
11 Br 0.4818 0.8002 0.5903  0.01
12 Br 0.5000 0.2084 0.7916  0.01
13 Br 0.8267 0.5034 0.1069  0.01
14 Br 0.8327 0.3171 0.3171  0.02
15 Br 0.1806 0.8818 0.0891  0.01
16 Br 0.7920 0.7163 0.7163  0.01
17 Br 0.5182 0.1998 0.4097  0.01
18 Br 0.5000 0.7916 0.2084  0.01
19 Br 0.8194 0.9109 0.1182  0.01
20 Br 0.8194 0.1182 0.9109  0.01
21 Br 0.1673 0.6829 0.6829  0.02
22 Br 0.8267 0.1069 0.5034  0.01
23 Hf 0.6417 0.2221 0.0447  0.46
24 Hf 0.3583 0.9553 0.7779  0.46
25 Hf 0.3583 0.7779 0.9553  0.46
26 Hf 0.3618 0.1338 0.1338  0.32
27 Hf 0.6382 0.8662 0.8662  0.32
28 Hf 0.6417 0.0447 0.2221  0.46

=====

First-principles (GGA-PBE) data for a relaxed structure of HfTlBr3, as listed in Alexandria.

Summary:
Space group   Pm-3m, No. 221
E_tot   -14.9 eV/cell
Density   5.4 g/cm³
V   38.2 Å³/atom
ΔE to the lowest computed polymorph   1.138 eV per atom

a = 5.7598 Å, b = 5.7598 Å, c = 5.7598 Å
α = 90.00°, β = 90.00°, γ = 90.00°
Last column: magnetic moment on the atom in μB.
Fractional coordinates of all 5 atoms:
1 Hf 0.5000 0.5000 0.5000  1.52
2 Br 0.0000 0.5000 0.0000  0.04
3 Br 0.5000 0.0000 0.0000  0.02
4 Br 0.0000 0.0000 0.5000  0.03
5 Tl 0.0000 0.0000 0.0000  0.00

=====

First-principles (GGA-PBE) data for a relaxed structure of HfTl3Br, as listed in Alexandria.

Summary:
Space group   Pm-3m, No. 221
E_tot   -16.7 eV/cell
Density   7.5 g/cm³
V   38.7 Å³/atom
ΔE to the lowest computed polymorph   0.000 eV per atom

a = 5.7838 Å, b = 5.7838 Å, c = 5.7838 Å
α = 90.00°, β = 90.00°, γ = 90.00°
Last column: magnetic moment on the atom in μB.
Fractional coordinates of all 5 atoms:
1 Tl 0.0000 0.5000 0.0000  0.18
2 Tl 0.5000 0.0000 0.0000  0.13
3 Tl 0.0000 0.0000 0.5000  0.16
4 Br 0.5000 0.5000 0.5000  0.16
5 Hf 0.0000 0.0000 0.0000  1.06

=====

First-principles (GGA-PBE) data for a relaxed structure of HfTlBr4, as listed in Alexandria.

Summary:
Space group   P4/nmm, No. 129
E_tot   -49.8 eV/cell
Density   5.3 g/cm³
V   36.5 Å³/atom

a = 3.7180 Å, b = 10.8490 Å, c = 10.8490 Å
α = 90.00°, β = 90.00°, γ = 90.00°
Last column: magnetic moment on the atom in μB.
Fractional coordinates of all 12 atoms:
1 Br 0.2700 0.2827 0.5000  0.01
2 Br 0.7300 0.2173 0.0000  0.01
3 Br 0.2700 0.7173 0.5000  0.01
4 Br 0.7300 0.5000 0.7173  0.01
5 Br 0.2700 0.0000 0.2173  0.01
6 Br 0.2700 0.0000 0.7827  0.01
7 Br 0.7300 0.7827 0.0000  0.01
8 Br 0.7300 0.5000 0.2827  0.01
9 Hf 0.0000 0.5000 0.5000  0.20
10 Hf 0.0000 0.0000 0.0000  0.20
11 Tl 0.1338 0.5000 0.0000  0.05
12 Tl 0.8662 0.0000 0.5000  0.05

=====

First-principles (GGA-PBE) data for a relaxed structure of HfTlBr2, as listed in Alexandria.

Summary:
Space group   R-3m, No. 166
E_tot   -18.3 eV/cell
Density   8.2 g/cm³
V   27.6 Å³/atom
ΔE to the lowest computed polymorph   0.000 eV per atom

a = 10.9832 Å, b = 10.9832 Å, c = 10.9832 Å
α = 17.98°, β = 17.98°, γ = 17.98°
Fractional coordinates of all 4 atoms:
1 Br 0.1070 0.1070 0.1070
2 Br 0.8930 0.8930 0.8930
3 Hf 0.5000 0.5000 0.5000
4 Tl 0.0000 0.0000 0.0000

=====

First-principles (GGA-PBE) data for a relaxed structure of HfTlBr2, as listed in Alexandria.

Summary:
Space group   Fm-3m, No. 225
E_tot   -15.3 eV/cell
Density   9.3 g/cm³
V   24.2 Å³/atom
ΔE to the lowest computed polymorph   0.760 eV per atom

a = 5.1542 Å, b = 5.1542 Å, c = 5.1542 Å
α = 60.00°, β = 60.00°, γ = 60.00°
Fractional coordinates of all 4 atoms:
1 Br 0.7500 0.7500 0.7500
2 Br 0.2500 0.2500 0.2500
3 Tl 0.5000 0.5000 0.5000
4 Hf 0.0000 0.0000 0.0000

=====

First-principles (GGA-PBE) data for a relaxed structure of Tm2HfBr, as listed in Alexandria.

Summary:
Space group   R-3m, No. 166
E_tot   -20.6 eV/cell
Density   9.4 g/cm³
V   26.3 Å³/atom

a = 3.3117 Å, b = 3.3117 Å, c = 11.2222 Å
α = 81.52°, β = 81.52°, γ = 60.00°
Fractional coordinates of all 4 atoms:
1 Tm 0.0951 0.0951 0.7147
2 Tm 0.9049 0.9049 0.2853
3 Hf 0.0000 0.0000 0.0000
4 Br 0.5000 0.5000 0.5000